[1]
Be2SbTe | PBE-GGA | optimized geometry

Output
Symmetry ... Cmm2, No. 35
Raw total energy ... -13.87 eV for the cell shown

Cell: 3.7484 3.7484 7.8150 Å, 90.00 90.00 115.14°
Last column: nearest neighbours and their distance in Å.
Fractional positions:
Be 0.0000 0.0000 0.0543  2 Be 2.29, 2 Te 2.42, 1 Sb 2.47
Sb 0.0000 0.0000 0.3708  3 Be 2.44-2.47
Be 0.5000 0.5000 0.1934  2 Be 2.29, 1 Te 2.44, 2 Sb 2.44
Te 0.5000 0.5000 0.8816  3 Be 2.42-2.44



[2]
Te5Ir | PBE-GGA | optimized geometry

Output
Symmetry ... P-62m, No. 189
Raw total energy ... -23.44 eV for the cell shown

Cell: 7.1731 7.1731 3.8510 Å, 90.00 90.00 120.00°
Last column: nearest neighbours and their distance in Å.
Fractional positions:
Te 0.3333 0.6667 0.5000  6 Te 3.28
Ir 0.0000 0.0000 0.5000  6 Te 2.72
Te 0.2684 0.2684 0.0000  2 Ir 2.72
Te 0.7316 0.0000 0.0000  2 Ir 2.72
Te 0.6667 0.3333 0.5000  6 Te 3.28
Te 0.0000 0.7316 0.0000  2 Ir 2.72